First-principles (PBE) data for Er5InPb4 after structural relaxation, as listed in the Alexandria database.

## Properties
* space-group type: I4
* formation enthalpy at 0 K: -0.271 eV per atom
* electronic total energy: -43.092 eV for the cell shown

a b c (Å): 6.320 7.560 7.560
angles (deg): 79.94 65.29 65.29
Sites, in units of the cell vectors:
In (0.160, 0.000, 0.000)
Pb (0.565, 0.617, 0.175)
Pb (0.740, 0.825, 0.617)
Pb (0.356, 0.383, 0.825)
Pb (0.181, 0.175, 0.383)
Er (0.648, 0.223, 0.405)
Er (0.663, 0.000, 0.000)
Er (0.275, 0.777, 0.595)
Er (0.871, 0.405, 0.777)
Er (0.053, 0.595, 0.223)

***

First-principles (PBE) data for ErInPb2 after structural relaxation, as listed in the Alexandria database.

## Properties
* space-group type: R3m
* formation enthalpy at 0 K: -0.045 eV per atom
* electronic total energy: -14.897 eV for the cell shown

a b c (Å): 4.786 4.786 6.903
angles (deg): 69.72 69.72 60.00
Sites, in units of the cell vectors:
Pb (0.079, 0.079, 0.763)
Pb (0.254, 0.254, 0.238)
Er (0.670, 0.670, 0.989)
In (0.496, 0.496, 0.511)

***

First-principles (PBE) data for ErInPb after structural relaxation, as listed in the Alexandria database.

## Properties
* space-group type: I4mm
* excess energy over the best structure of this formula in the dataset: 0.47 eV per formula unit
* formation enthalpy at 0 K: -0.187 eV per atom
* electronic total energy: -11.570 eV for the cell shown

a b c (Å): 3.791 3.791 6.346
angles (deg): 107.38 107.38 90.00
Sites, in units of the cell vectors:
Pb (0.958, 0.958, 0.916)
Er (0.278, 0.278, 0.556)
In (0.614, 0.614, 0.228)

***

First-principles (PBE) data for ErInPb2 after structural relaxation, as listed in the Alexandria database.

## Properties
* space-group type: P4/mmm
* formation enthalpy at 0 K: -0.271 eV per atom
* electronic total energy: -15.801 eV for the cell shown

a b c (Å): 4.744 4.821 4.821
angles (deg): 90.00 90.00 90.00
Sites, in units of the cell vectors:
In (0.500, 0.000, 0.000)
Pb (0.000, 0.000, 0.500)
Pb (0.000, 0.500, 0.000)
Er (0.500, 0.500, 0.500)

***

First-principles (PBE) data for Er2InPb4 after structural relaxation, as listed in the Alexandria database.

## Properties
* space-group type: Cmmm
* formation enthalpy at 0 K: -0.256 eV per atom
* electronic total energy: -28.488 eV for the cell shown

a b c (Å): 4.748 6.624 6.624
angles (deg): 98.95 90.00 90.00
Sites, in units of the cell vectors:
Pb (0.500, 0.000, 0.500)
Pb (0.000, 0.199, 0.199)
Pb (0.000, 0.801, 0.801)
Pb (0.500, 0.500, 0.000)
Er (0.000, 0.287, 0.713)
Er (0.000, 0.713, 0.287)
In (0.500, 0.500, 0.500)

***

First-principles (PBE) data for Er2InPb3 after structural relaxation, as listed in the Alexandria database.

## Properties
* space-group type: Cmcm
* excess energy over the best structure of this formula in the dataset: 1.11 eV per formula unit
* formation enthalpy at 0 K: -0.169 eV per atom
* electronic total energy: -48.012 eV for the cell shown

a b c (Å): 5.104 8.856 8.856
angles (deg): 109.44 90.00 90.00
Sites, in units of the cell vectors:
Pb (0.993, 0.885, 0.357)
Pb (0.993, 0.357, 0.885)
Pb (0.493, 0.115, 0.643)
Pb (0.493, 0.892, 0.892)
Pb (0.493, 0.643, 0.115)
Pb (0.993, 0.108, 0.108)
In (0.493, 0.333, 0.333)
In (0.993, 0.667, 0.667)
Er (0.493, 0.497, 0.744)
Er (0.993, 0.503, 0.256)
Er (0.993, 0.256, 0.503)
Er (0.493, 0.744, 0.497)

***

First-principles (PBE) data for Er4InPb after structural relaxation, as listed in the Alexandria database.

## Properties
* space-group type: I4_1/amd
* excess energy over the best structure of this formula in the dataset: 0.00 eV per formula unit
* formation enthalpy at 0 K: -0.133 eV per atom
* electronic total energy: -50.988 eV for the cell shown

a b c (Å): 7.266 7.265 8.893
angles (deg): 114.10 114.10 90.02
Sites, in units of the cell vectors:
Pb (0.875, 0.125, 0.250)
Pb (0.125, 0.875, 0.750)
Er (0.744, 0.000, 0.500)
Er (0.500, 0.744, 0.000)
Er (0.000, 0.744, 0.000)
Er (0.000, 0.256, 0.000)
Er (0.744, 0.500, 0.500)
Er (0.256, 0.000, 0.500)
Er (0.256, 0.500, 0.500)
Er (0.500, 0.256, 0.000)
In (0.625, 0.375, 0.750)
In (0.375, 0.625, 0.250)

***

First-principles (PBE) data for ErInPb after structural relaxation, as listed in the Alexandria database.

## Properties
* space-group type: Cmcm
* excess energy over the best structure of this formula in the dataset: 0.00 eV per formula unit
* formation enthalpy at 0 K: -0.344 eV per atom
* electronic total energy: -24.084 eV for the cell shown

a b c (Å): 4.409 4.532 8.419
angles (deg): 105.61 90.00 90.00
Sites, in units of the cell vectors:
Pb (0.250, 0.425, 0.850)
Pb (0.750, 0.575, 0.150)
Er (0.750, 0.908, 0.816)
Er (0.250, 0.092, 0.184)
In (0.250, 0.747, 0.493)
In (0.750, 0.253, 0.507)